No. 1
MnCuPdPb after structural relaxation. Source: Alexandria, functional PBE-GGA.

Results
Volume: 17.23 Å³ per atom
Calculated formation energy: 0.0710 eV per atom
Crystal system: cubic
DOS(E_F): 8.22 states/eV per cell

Cell: 6.5086 6.5086 6.5086 Å, 90.00 90.00 90.00°
Closest atoms and distances in Å follow each position.
Space group F-43m (No. 216)
Asymmetric unit:
1 Mn 0.0000 0.0000 0.0000 (multiplicity 4)  4 Pd 2.82, 4 Cu 2.82
2 Cu 0.2500 0.2500 0.7500 (multiplicity 4)  4 Mn 2.82, 4 Pb 2.82
3 Pd 0.2500 0.2500 0.2500 (multiplicity 4)  4 Mn 2.82, 4 Pb 2.82
4 Pb 0.0000 0.0000 0.5000 (multiplicity 4)  4 Cu 2.82, 4 Pd 2.82



No. 2
LaNdHo4 after structural relaxation. Source: Alexandria, functional PBE-GGA.

Results
Volume: 34.92 Å³ per atom
Calculated formation energy: 0.2806 eV per atom
Crystal system: cubic
DOS(E_F): 62.56 states/eV per cell
Energy above the most stable polymorph in this dataset: 254 meV per atom

Cell: 9.4285 9.4285 9.4285 Å, 90.00 90.00 90.00°
Closest atoms and distances in Å follow each position.
Space group F-43m (No. 216)
Asymmetric unit:
1 La 0.0000 0.0000 0.0000 (multiplicity 4)  12 Ho 3.91, 4 Nd 4.08
2 Nd 0.2500 0.2500 0.7500 (multiplicity 4)  12 Ho 3.91, 4 La 4.08
3 Ho 0.1245 0.1245 0.3755 (multiplicity 16)  6 Ho 3.32-3.35